1.
DFT (PBE) results for a geometry-optimized Li2ScNbMo structure.

Cell and atoms, written as extended XYZ:
```
5
Lattice="4.577 0.000 0.000 0.000 4.577 0.000 0.000 0.000 4.651" Properties=species:S:1:pos:R:3 pbc="T T T"
Li 0.000 2.289 0.000
Li 2.289 0.000 0.000
Sc 0.000 0.000 2.325
Nb 2.289 2.289 2.325
Mo 0.000 0.000 0.000
```

Values from the calculation:
Uncorrected energy   -24.05 eV per cell
Total magnetization   0.0 μB per cell
DOS at the Fermi energy   6.6 states/eV/f.u.
Energy relative to the elements   1402 meV/atom

2.
DFT (PBE) results for a geometry-optimized LiTiNbMo structure.

Cell and atoms, written as extended XYZ:
```
4
Lattice="0.000 3.180 3.180 3.180 0.000 3.180 3.180 3.180 0.000" Properties=species:S:1:pos:R:3 pbc="T T T"
Li 0.000 0.000 0.000
Ti 1.590 1.590 1.590
Nb 4.771 4.771 4.771
Mo 3.180 3.180 3.180
```

Values from the calculation:
Uncorrected energy   -30.20 eV per cell
Total magnetization   0.0 μB per cell
DOS at the Fermi energy   4.4 states/eV/f.u.
Energy relative to the elements   127 meV/atom

3.
DFT (PBE) results for a geometry-optimized LiNbVMo2 structure.

Cell and atoms, written as extended XYZ:
```
5
Lattice="4.512 0.000 0.000 0.000 4.512 0.000 0.000 0.000 4.194" Properties=species:S:1:pos:R:3 pbc="T T T"
Li 0.000 0.000 0.000
Nb 2.256 2.256 0.000
V 0.000 0.000 2.097
Mo 0.000 2.256 2.097
Mo 2.256 0.000 2.097
```

Values from the calculation:
Uncorrected energy   -37.24 eV per cell
Total magnetization   0.0 μB per cell
DOS at the Fermi energy   3.8 states/eV/f.u.
Energy relative to the elements   1105 meV/atom